MgCo5SbO8 | PBE with a Hubbard U | optimized geometry

Values from the calculation:
N(E_F)   0.1120 states/eV/atom
Density   5.3 g cm⁻³
Offset from the most stable computed form   19 meV/atom
Electronic total energy   -0.4305 Ry per atom

a = 6.2298 Å, b = 6.2298 Å, c = 6.3678 Å
α = 118.31°, β = 118.31°, γ = 60.46°
Fractional coordinates of all 15 atoms:
1 Mg 0.0000 0.0000 0.0000
2 Co 0.1918 0.7095 0.4798
3 Co 0.2624 0.2624 0.0204
4 Co 0.5928 0.5928 0.0765
5 Co 0.6987 0.6987 0.5774
6 Co 0.7095 0.1918 0.4798
7 Sb 0.2170 0.2170 0.5071
8 O 0.3946 0.9725 0.1895
9 O 0.4202 0.9809 0.7294
10 O 0.4493 0.4493 0.7019
11 O 0.4824 0.4824 0.2865
12 O 0.8996 0.8996 0.6394
13 O 0.9725 0.3946 0.1895
14 O 0.9802 0.9802 0.2889
15 O 0.9809 0.4202 0.7294